1.
Compound: MnCdGa4Se8
Source: Alexandria
Functional: SCAN
Structure: single point on PBEsol structure

Values from the calculation:
* uncorrected formation energy: -0.720 eV per atom
* total magnetization: 5.00 μB/f.u.
* volume: 344 Å³ per cell
* calculated density: 5.20 Mg/m³
* space-group type: No. 81

Lattice parameters (Å, degrees): 5.6484 5.6484 10.7973 90.00 90.00 90.00
Last column: nearest neighbours and their distance in Å.
Sites, in units of the cell vectors:
Mn: 0.5000 0.5000 0.5000  4 Se 2.51
Cd: 0.0000 0.0000 0.0000  4 Se 2.62
Ga: 0.5000 0.5000 0.0000  4 Se 2.42
Ga: 0.0000 0.0000 0.5000  4 Se 2.42
Ga: 0.0000 0.5000 0.2519  4 Se 2.43
Ga: 0.5000 0.0000 0.7481  4 Se 2.43
Se: 0.2542 0.7678 0.3667  2 Ga 2.42-2.43, 1 Mn 2.51
Se: 0.7489 0.2802 0.8580  2 Ga 2.42-2.43, 1 Cd 2.62
Se: 0.7458 0.2322 0.3667  2 Ga 2.42-2.43, 1 Mn 2.51
Se: 0.2511 0.7198 0.8580  2 Ga 2.42-2.43, 1 Cd 2.62
Se: 0.7198 0.7489 0.1420  2 Ga 2.42-2.43, 1 Cd 2.62
Se: 0.2322 0.2542 0.6333  2 Ga 2.42-2.43, 1 Mn 2.51
Se: 0.2802 0.2511 0.1420  2 Ga 2.42-2.43, 1 Cd 2.62
Se: 0.7678 0.7458 0.6333  2 Ga 2.42-2.43, 1 Mn 2.51

2.
Compound: Fe3C
Source: Alexandria
Functional: SCAN
Structure: single point on PBEsol structure

Values from the calculation:
* total magnetization: 7.73 μB/f.u.
* volume: 38 Å³ per cell
* calculated density: 7.78 Mg/m³
* formation enthalpy at 0 K: 0.8487 eV/atom
* space-group type: No. 166

Lattice parameters (Å, degrees): 2.5414 4.2580 4.2580 116.14 101.48 101.48
Last column: nearest neighbours and their distance in Å.
Sites, in units of the cell vectors:
C: 0.0000 0.0000 0.0000  6 Fe 2.25
Fe: 0.5000 0.0000 0.5000  4 Fe 2.25, 2 C 2.25
Fe: 0.5000 0.5000 0.0000  2 C 2.25, 4 Fe 2.25
Fe: 0.0000 0.5000 0.5000  4 Fe 2.25, 2 C 2.25

3.
Compound: YCd
Source: Alexandria
Functional: SCAN
Structure: single point on PBEsol structure

Values from the calculation:
* total magnetization: 0.00 μB/f.u.
* volume: 102 Å³ per cell
* calculated density: 6.56 Mg/m³
* formation enthalpy at 0 K: -0.4157 eV/atom
* space-group type: No. 63

Lattice parameters (Å, degrees): 3.5903 4.8118 6.1624 90.00 106.94 90.00
Last column: nearest neighbours and their distance in Å.
Sites, in units of the cell vectors:
Y: 0.8421 0.7500 0.6842  7 Cd 3.16-3.26
Y: 0.1579 0.2500 0.3158  7 Cd 3.16-3.26
Cd: 0.5730 0.7500 0.1460  2 Cd 2.96, 7 Y 3.16-3.26
Cd: 0.4270 0.2500 0.8540  2 Cd 2.96, 7 Y 3.16-3.26

4.
Compound: NaSe2F
Source: Alexandria
Functional: SCAN
Structure: single point on PBEsol structure

Values from the calculation:
* uncorrected formation energy: -1.111 eV per atom
* total magnetization: 0.00 μB/f.u.
* volume: 171 Å³ per cell
* calculated density: 3.88 Mg/m³
* space-group type: No. 122

Lattice parameters (Å, degrees): 3.5855 3.5855 13.5451 97.61 97.61 90.00
Last column: nearest neighbours and their distance in Å.
Sites, in units of the cell vectors:
Na: 0.2500 0.7500 0.5000  4 F 2.54
Na: 0.0000 0.0000 0.0000  4 F 2.54
Se: 0.3757 0.8750 0.2500  4 Se 2.53-2.54
Se: 0.8743 0.3750 0.2500  4 Se 2.53-2.54
Se: 0.1250 0.1257 0.7500  4 Se 2.53-2.54
Se: 0.6250 0.6243 0.7500  4 Se 2.53-2.54
F: 0.7500 0.2500 0.5000  4 Na 2.54
F: 0.5000 0.5000 0.0000  4 Na 2.54

5.
Compound: KCd2As2
Source: Alexandria
Functional: SCAN
Structure: single point on PBEsol structure

Values from the calculation:
* total magnetization: 0.00 μB/f.u.
* volume: 122 Å³ per cell
* calculated density: 5.61 Mg/m³
* formation enthalpy at 0 K: -0.3294 eV/atom
* space-group type: No. 139

Lattice parameters (Å, degrees): 4.4630 4.4630 6.9117 108.84 108.84 90.00
Last column: nearest neighbours and their distance in Å.
Sites, in units of the cell vectors:
As: 0.3832 0.3832 0.7663  4 Cd 2.77, 1 As 2.87
As: 0.6168 0.6168 0.2337  4 Cd 2.77, 1 As 2.87
K: 0.0000 0.0000 0.0000  8 As 3.47, 8 Cd 3.80
Cd: 0.2500 0.7500 0.5000  4 As 2.77
Cd: 0.7500 0.2500 0.5000  4 As 2.77

6.
Compound: FeCo2Os
Source: Alexandria
Functional: SCAN
Structure: single point on PBEsol structure

Values from the calculation:
* total magnetization: 8.07 μB/f.u.
* volume: 46 Å³ per cell
* calculated density: 13.18 Mg/m³
* formation enthalpy at 0 K: 0.1348 eV/atom
* space-group type: No. 225

Lattice parameters (Å, degrees): 4.0177 4.0177 4.0177 60.00 60.00 60.00
Last column: nearest neighbours and their distance in Å.
Sites, in units of the cell vectors:
Co: 0.2500 0.2500 0.2500  4 Fe 2.46, 4 Os 2.46
Co: 0.7500 0.7500 0.7500  4 Fe 2.46, 4 Os 2.46
Fe: 0.0000 0.0000 0.0000  8 Co 2.46
Os: 0.5000 0.5000 0.5000  8 Co 2.46

7.
Compound: ZrHg2Pd2
Source: Alexandria
Functional: SCAN
Structure: single point on PBEsol structure

Values from the calculation:
* total magnetization: 0.00 μB/f.u.
* volume: 97 Å³ per cell
* calculated density: 12.01 Mg/m³
* formation enthalpy at 0 K: -0.1601 eV/atom
* space-group type: No. 139

Lattice parameters (Å, degrees): 3.8042 3.8042 7.2530 105.20 105.20 90.00
Last column: nearest neighbours and their distance in Å.
Sites, in units of the cell vectors:
Zr: 0.0000 0.0000 0.0000  8 Pd 2.97
Hg: 0.2500 0.7500 0.5000  4 Hg 2.69, 4 Pd 2.84
Hg: 0.7500 0.2500 0.5000  4 Hg 2.69, 4 Pd 2.84
Pd: 0.4064 0.4064 0.8127  1 Pd 2.52
Pd: 0.5936 0.5936 0.1873  1 Pd 2.52

8.
Compound: MgInPtS2
Source: Alexandria
Functional: SCAN
Structure: single point on PBEsol structure

Values from the calculation:
* uncorrected formation energy: -0.056 eV per atom
* total magnetization: 0.00 μB/f.u.
* volume: 111 Å³ per cell
* calculated density: 5.98 Mg/m³
* space-group type: No. 123

Lattice parameters (Å, degrees): 4.7915 4.7915 4.8171 90.00 90.00 90.00
Last column: nearest neighbours and their distance in Å.
Sites, in units of the cell vectors:
S: 0.0000 0.5000 0.0000  2 Pt 2.40
S: 0.5000 0.0000 0.0000  2 Pt 2.40
Mg: 0.0000 0.0000 0.5000  2 Pt 2.41
Pt: 0.0000 0.0000 0.0000  4 S 2.40, 2 Mg 2.41
In: 0.5000 0.5000 0.5000  4 Mg 3.39, 8 S 3.40

9.
Compound: CrOs3
Source: Alexandria
Functional: SCAN
Structure: single point on PBEsol structure

Values from the calculation:
* total magnetization: 0.00 μB/f.u.
* volume: 107 Å³ per cell
* calculated density: 19.33 Mg/m³
* formation enthalpy at 0 K: -0.0011 eV/atom
* space-group type: No. 63

Lattice parameters (Å, degrees): 4.2647 5.3824 5.3817 60.00 90.00 90.00
Last column: nearest neighbours and their distance in Å.
Sites, in units of the cell vectors:
Cr: 0.2500 0.5804 0.8391  2 Cr 2.61, 10 Os 2.62-2.75
Cr: 0.7500 0.4196 0.1609  2 Cr 2.61, 10 Os 2.62-2.75
Os: 0.7500 0.9167 0.1666  10 Os 2.64-2.70, 2 Cr 2.69
Os: 0.2500 0.0833 0.8334  10 Os 2.64-2.70, 2 Cr 2.69
Os: 0.7500 0.9080 0.6724  4 Cr 2.62-2.75, 8 Os 2.63-2.75
Os: 0.2500 0.0920 0.3276  4 Cr 2.62-2.75, 8 Os 2.63-2.75
Os: 0.7500 0.4196 0.6724  4 Cr 2.62-2.75, 8 Os 2.63-2.75
Os: 0.2500 0.5804 0.3276  4 Cr 2.62-2.75, 8 Os 2.63-2.75

10.
Compound: TbSi2Ir2
Source: Alexandria
Functional: SCAN
Structure: single point on PBEsol structure

Values from the calculation:
* uncorrected formation energy: -1.236 eV per atom
* total magnetization: 0.00 μB/f.u.
* volume: 81 Å³ per cell
* calculated density: 12.29 Mg/m³
* space-group type: No. 139

Lattice parameters (Å, degrees): 4.0443 4.0443 5.7196 110.70 110.70 90.00
Last column: nearest neighbours and their distance in Å.
Sites, in units of the cell vectors:
Si: 0.3788 0.3788 0.7576  4 Ir 2.39, 1 Si 2.40
Si: 0.6212 0.6212 0.2424  4 Ir 2.39, 1 Si 2.40
Ir: 0.7500 0.2500 0.5000  4 Si 2.39
Ir: 0.2500 0.7500 0.5000  4 Si 2.39
Tb: 0.0000 0.0000 0.0000  8 Si 3.10, 8 Ir 3.20

11.
Compound: TcNiIr2
Source: Alexandria
Functional: SCAN
Structure: single point on PBEsol structure

Values from the calculation:
* total magnetization: 0.68 μB/f.u.
* volume: 53 Å³ per cell
* calculated density: 16.96 Mg/m³
* formation enthalpy at 0 K: -0.0975 eV/atom
* space-group type: No. 166

Lattice parameters (Å, degrees): 2.6773 2.6773 8.6759 81.12 81.12 60.00
Last column: nearest neighbours and their distance in Å.
Sites, in units of the cell vectors:
Ni: 0.5000 0.5000 0.5000  6 Ir 2.60, 6 Ni 2.68
Ir: 0.2485 0.2485 0.2545  3 Ni 2.60, 3 Tc 2.67, 6 Ir 2.68
Ir: 0.7515 0.7515 0.7455  3 Ni 2.60, 3 Tc 2.67, 6 Ir 2.68
Tc: 0.0000 0.0000 0.0000  6 Ir 2.67, 6 Tc 2.68

12.
Compound: Li2PdS2
Source: Alexandria
Functional: SCAN
Structure: single point on PBEsol structure

Values from the calculation:
* uncorrected formation energy: -0.542 eV per atom
* total magnetization: 0.00 μB/f.u.
* volume: 82 Å³ per cell
* calculated density: 3.72 Mg/m³
* space-group type: No. 139

Lattice parameters (Å, degrees): 4.7719 4.9457 4.7719 61.16 90.00 118.84
Last column: nearest neighbours and their distance in Å.
Sites, in units of the cell vectors:
S: 0.6869 0.3739 0.3131  1 Pd 2.26, 4 Li 2.43
S: 0.3131 0.6261 0.6869  1 Pd 2.26, 4 Li 2.43
Pd: 0.0000 0.0000 0.0000  2 S 2.26
Li: 0.7500 0.5000 0.7500  4 S 2.43
Li: 0.2500 0.5000 0.2500  4 S 2.43

13.
Compound: BeOs3Se
Source: Alexandria
Functional: SCAN
Structure: single point on PBEsol structure

Values from the calculation:
* uncorrected formation energy: 2.065 eV per atom
* total magnetization: 0.00 μB/f.u.
* volume: 88 Å³ per cell
* calculated density: 12.39 Mg/m³
* space-group type: No. 221

Lattice parameters (Å, degrees): 4.4531 4.4531 4.4531 90.00 90.00 90.00
Last column: nearest neighbours and their distance in Å.
Sites, in units of the cell vectors:
Be: 0.5000 0.5000 0.5000  12 Os 3.15
Os: 0.0000 0.5000 0.0000  2 Se 2.23
Os: 0.0000 0.0000 0.5000  2 Se 2.23
Os: 0.5000 0.0000 0.0000  2 Se 2.23
Se: 0.0000 0.0000 0.0000  6 Os 2.23

14.
Compound: PtRhCl2
Source: Alexandria
Functional: SCAN
Structure: single point on PBEsol structure

Values from the calculation:
* uncorrected formation energy: 0.429 eV per atom
* total magnetization: 0.00 μB/f.u.
* volume: 63 Å³ per cell
* calculated density: 9.74 Mg/m³
* space-group type: No. 12

Lattice parameters (Å, degrees): 3.0946 4.9556 4.9556 109.05 106.28 106.28
Last column: nearest neighbours and their distance in Å.
Sites, in units of the cell vectors:
Rh: 0.0000 0.5000 0.5000  4 Cl 2.48
Pt: 0.0000 0.0000 0.0000  4 Cl 2.48
Cl: 0.0000 0.5000 0.0000  2 Pt 2.48, 2 Rh 2.48
Cl: 0.0000 0.0000 0.5000  2 Rh 2.48, 2 Pt 2.48